Cs2HgSe2O6: relaxed, GGA-PBE.

The structure in CIF format:
```
data_Cs2HgSe2O6
_space_group_name_H-M_alt 'P 1'
_space_group_IT_number 1
_cell_length_a 5.671
_cell_length_b 7.477
_cell_length_c 8.112
_cell_angle_alpha 119.76
_cell_angle_beta 90.00
_cell_angle_gamma 112.29
loop_
_space_group_symop_operation_xyz
'x,y,z'
loop_
_atom_site_label
_atom_site_fract_x
_atom_site_fract_y
_atom_site_fract_z
Cs1 0.707 0.414 0.215
Cs2 0.293 0.586 0.785
Hg1 0.500 0.000 0.500
Se1 0.023 0.046 0.809
Se2 0.977 0.954 0.191
O1 0.880 0.760 0.644
O2 0.162 0.837 0.240
O3 0.324 0.163 0.760
O4 0.838 0.163 0.760
O5 0.676 0.837 0.240
O6 0.120 0.240 0.356
```

Values from the calculation:
- SG = C2/m, No. 12
- crystal system = monoclinic
- E (eV for the cell shown) = -50.4